Density functional theory data (GGA-PBE) for crystalline Ac4LaCd at its relaxed geometry.

Calculated values
Its space group is No. 123. For the final energy, the calculation gives -22.81 eV for the cell shown. The value obtained for the energy of formation from the pure elements is -0.089 eV/atom.

Geometry as POSCAR:
```
Ac4LaCd
1.0
3.980 0.000 0.000
0.000 3.980 0.000
0.000 0.000 15.170
Ac La Cd
4 1 1
direct
0.000 0.000 0.140
0.000 0.000 0.860
0.500 0.500 0.326
0.500 0.500 0.674
0.000 0.000 0.500
0.500 0.500 0.000
```